! AcPmOs PBE optimized geometry; values from VASP
&SYSTEM
  ibrav = 0, nat = 6, ntyp = 3
/
ATOMIC_SPECIES
Ac 227.00 Ac.upf
Pm 145.00 Pm.upf
Os 190.23 Os.upf
ATOMIC_POSITIONS crystal
Ac 0.103 0.103 0.000
Ac 0.897 0.897 0.000
Pm 0.332 0.332 0.000
Pm 0.668 0.668 0.000
Os 0.500 0.250 0.750
Os 0.500 0.750 0.250
CELL_PARAMETERS angstrom
-2.446 2.485 8.165
2.446 -2.485 8.165
2.446 2.485 -8.165
! - E above lowest polymorph: 317 meV per atom
! - Fermi-level density of states: 5.613 states/eV/cell
! - Formation energy from the elements: 0.29 eV/atom

***

! Ac2Pm2Os PBE optimized geometry; values from VASP
&SYSTEM
  ibrav = 0, nat = 10, ntyp = 3
/
ATOMIC_SPECIES
Ac 227.00 Ac.upf
Pm 145.00 Pm.upf
Os 190.23 Os.upf
ATOMIC_POSITIONS crystal
Ac 0.058 0.308 0.750
Ac 0.308 0.058 0.250
Ac 0.692 0.942 0.750
Ac 0.942 0.692 0.250
Pm 0.189 0.439 0.750
Pm 0.439 0.189 0.250
Pm 0.561 0.811 0.750
Pm 0.811 0.561 0.250
Os 0.375 0.625 0.750
Os 0.625 0.375 0.250
CELL_PARAMETERS angstrom
-2.553 2.553 13.264
2.553 -2.553 13.264
2.553 2.553 -13.264
! - Fermi-level density of states: 11.675 states/eV/cell
! - Formation energy from the elements: 0.09 eV/atom

***

! AcPmOs4 PBE optimized geometry; values from VASP
&SYSTEM
  ibrav = 0, nat = 6, ntyp = 3
/
ATOMIC_SPECIES
Ac 227.00 Ac.upf
Pm 145.00 Pm.upf
Os 190.23 Os.upf
ATOMIC_POSITIONS crystal
Ac 0.000 0.000 0.000
Pm 0.750 0.750 0.750
Os 0.375 0.375 0.375
Os 0.375 0.375 0.874
Os 0.375 0.874 0.375
Os 0.874 0.375 0.375
CELL_PARAMETERS angstrom
0.000 3.892 3.892
3.892 0.000 3.892
3.892 3.892 0.000
! - Fermi-level density of states: 9.226 states/eV/cell
! - Formation energy from the elements: 0.06 eV/atom

***

! AcPmOsRh PBE optimized geometry; values from VASP
&SYSTEM
  ibrav = 0, nat = 4, ntyp = 4
/
ATOMIC_SPECIES
Ac 227.00 Ac.upf
Pm 145.00 Pm.upf
Os 190.23 Os.upf
Rh 102.91 Rh.upf
ATOMIC_POSITIONS crystal
Ac 0.000 0.000 0.000
Pm 0.500 0.500 0.500
Os 0.750 0.750 0.750
Rh 0.250 0.250 0.250
CELL_PARAMETERS angstrom
0.000 3.604 3.604
3.604 0.000 3.604
3.604 3.604 0.000
! - Fermi-level density of states: 3.736 states/eV/cell
! - Formation energy from the elements: -0.12 eV/atom

***

! AcPr2Os PBE optimized geometry; values from VASP
&SYSTEM
  ibrav = 0, nat = 8, ntyp = 3
/
ATOMIC_SPECIES
Ac 227.00 Ac.upf
Pr 140.91 Pr.upf
Os 190.23 Os.upf
ATOMIC_POSITIONS crystal
Ac 0.079 0.921 0.750
Ac 0.921 0.079 0.250
Pr 0.351 0.649 0.571
Pr 0.351 0.649 0.929
Pr 0.649 0.351 0.071
Pr 0.649 0.351 0.429
Os 0.251 0.749 0.250
Os 0.749 0.251 0.750
CELL_PARAMETERS angstrom
2.071 -6.418 0.000
2.071 6.418 0.000
0.000 0.000 9.642
! - E above lowest polymorph: 17 meV per atom
! - Fermi-level density of states: 9.259 states/eV/cell
! - Formation energy from the elements: -0.05 eV/atom

***

! Ac2PrOs PBE optimized geometry; values from VASP
&SYSTEM
  ibrav = 0, nat = 4, ntyp = 3
/
ATOMIC_SPECIES
Ac 227.00 Ac.upf
Pr 140.91 Pr.upf
Os 190.23 Os.upf
ATOMIC_POSITIONS crystal
Ac 0.158 0.000 0.158
Ac 0.842 0.000 0.842
Pr 0.503 0.003 0.500
Os 0.004 0.504 0.500
CELL_PARAMETERS angstrom
-2.197 6.261 2.851
2.197 -6.261 2.851
2.197 6.261 -2.851
! - Fermi-level density of states: 3.630 states/eV/cell
! - Formation energy from the elements: -0.09 eV/atom